CdPRhS2 | PBE | relaxed Values from VASP.

```
&SYSTEM
  ibrav = 0, nat = 5, ntyp = 4
/
ATOMIC_SPECIES
Rh 102.91 Rh.upf
Cd 112.41 Cd.upf
S 32.06 S.upf
P 30.97 P.upf
CELL_PARAMETERS angstrom
-4.028 1.241 -2.590
-2.489 -1.736 3.039
-0.169 4.351 2.348
ATOMIC_POSITIONS crystal
Rh 0.000 0.000 0.000
Cd 0.500 0.500 0.500
S 0.000 0.000 0.500
S 0.500 0.000 0.000
P 0.000 0.500 0.000
```

Results
* crystal system: tetragonal
* SG: No. 123
* total magnetic moment: 0.00 μB per formula unit
* polymorph energy (0 for the lowest one): 0.0 kJ/mol of formula units
* raw total energy: -20.3 eV/f.u.
* ΔE_f (raw): 0.335 eV/atom